Compound: Fe2Cu3C12N12
Source: the Alexandria database
Functional: PBE-GGA
Structure: optimized geometry

Lattice parameters (Å, degrees): 7.210 7.210 10.187 90.00 90.00 90.00
Space group P-4m2 (No. 115)
One atom of each set of equivalent atoms:
1 Fe 0.000 0.500 0.250 x2
2 Cu 0.000 0.000 0.000 x1
3 Cu 0.000 0.500 0.750 x2
4 C 0.000 0.500 0.551 x2
5 C 0.000 0.500 0.950 x2
6 C 0.198 0.299 0.752 x8
7 N 0.000 0.500 0.065 x2
8 N 0.000 0.500 0.436 x2
9 N 0.184 0.313 0.248 x8

Spin magnetization   5.14 μB/f.u.
ρ   1.93 g/cm3
Formation energy from raw total energies   0.711 eV per atom